[1]
## H2OsRuSe (PBE-GGA)

Data for a relaxed structure of H2OsRuSe.

spin magnetization	0.000	μB/f.u.
SG	P4/mmm
calculated total energy	-25.7	eV/cell
crystal system	tetragonal

Cell: 3.4989 3.4989 5.4304 Å, 90.00 90.00 90.00°
Closest atoms and distances in Å follow each position.
Sites, in units of the cell vectors:
H  0.0000  0.5000  0.0000  2 Se 1.75
H  0.5000  0.0000  0.0000  2 Se 1.75
Os  0.0000  0.0000  0.5000  4 Ru 2.47, 2 Se 2.72
Ru  0.5000  0.5000  0.5000  4 Os 2.47
Se  0.0000  0.0000  0.0000  4 H 1.75

---

[2]
## Ce4In3Hg4 (PBE-GGA)

Data for a relaxed structure of Ce4In3Hg4.

spin magnetization	4.537	μB/f.u.
SG	Immm
calculated total energy	-34.7	eV/cell
crystal system	orthorhombic
formation enthalpy at 0 K	-0.143	eV/atom

Cell: 10.9652 10.9652 10.9652 Å, 161.33 134.49 49.59°
Closest atoms and distances in Å follow each position.
Sites, in units of the cell vectors:
Ce  0.0206  0.8571  0.1635  1 Ce 2.77
Ce  0.3064  0.1429  0.1635  1 Ce 2.77
Ce  0.6936  0.8571  0.8365  1 Ce 2.77
Ce  0.9794  0.1429  0.8365  1 Ce 2.77
In  0.0000  0.5000  0.5000  4 Hg 3.25, 2 In 3.56, 8 Ce 3.63
In  0.3880  0.3880  0.0000  6 Hg 3.06-3.23, 4 Ce 3.42
In  0.6120  0.6120  0.0000  6 Hg 3.06-3.23, 4 Ce 3.42
Hg  0.2631  0.7631  0.5000  2 In 3.06, 6 Ce 3.29-3.41
Hg  0.3210  0.0000  0.3210  1 Hg 3.04, 2 Ce 3.14, 6 In 3.23-3.25
Hg  0.6790  0.0000  0.6790  1 Hg 3.04, 2 Ce 3.14, 6 In 3.23-3.25
Hg  0.7369  0.2369  0.5000  2 In 3.06, 6 Ce 3.29-3.41

---

[3]
## LiZnCd5Ag2 (PBE-GGA)

Data for a relaxed structure of LiZnCd5Ag2.

spin magnetization	0.000	μB/f.u.
SG	Cmc2_1
calculated total energy	-28.3	eV/cell
crystal system	orthorhombic
formation enthalpy at 0 K	-0.075	eV/atom

Cell: 6.8082 6.8082 12.4829 Å, 90.00 90.00 142.98°
Closest atoms and distances in Å follow each position.
Sites, in units of the cell vectors:
Li  0.0813  0.9187  0.5000  6 Cd 2.86-2.99, 4 Ag 2.88-3.07, 2 Zn 3.05
Li  0.9187  0.0813  0.0000  6 Cd 2.86-2.99, 4 Ag 2.88-3.07, 2 Zn 3.05
Zn  0.2522  0.7478  0.0007  3 Ag 2.83-3.03, 7 Cd 2.90-2.99, 2 Li 3.05
Zn  0.7478  0.2522  0.5007  3 Ag 2.83-3.03, 7 Cd 2.90-2.99, 2 Li 3.05
Cd  0.0788  0.9212  0.8418  1 Li 2.86, 4 Ag 2.95-3.04, 1 Zn 2.99, 6 Cd 3.04-3.15
Cd  0.0850  0.9150  0.1665  4 Ag 2.98-3.12, 1 Li 2.99, 1 Zn 2.99, 6 Cd 3.04-3.06
Cd  0.2454  0.7546  0.3445  1 Li 2.87, 2 Zn 2.91, 3 Ag 2.92-2.98, 6 Cd 3.04-3.22
Cd  0.2474  0.7526  0.6637  2 Ag 2.93-3.14, 1 Li 2.96, 2 Zn 2.97, 7 Cd 3.03-3.13
Cd  0.4174  0.5826  0.1581  1 Zn 2.90, 2 Li 2.93, 2 Ag 2.93-3.21, 7 Cd 3.03-3.22
Cd  0.5826  0.4174  0.6581  1 Zn 2.90, 2 Li 2.93, 2 Ag 2.93-3.21, 7 Cd 3.03-3.22
Cd  0.7526  0.2474  0.1637  2 Ag 2.93-3.14, 1 Li 2.96, 2 Zn 2.97, 7 Cd 3.03-3.13
Cd  0.7546  0.2454  0.8445  1 Li 2.87, 2 Zn 2.91, 3 Ag 2.92-2.98, 6 Cd 3.04-3.22
Cd  0.9150  0.0850  0.6665  4 Ag 2.98-3.12, 1 Li 2.99, 1 Zn 2.99, 6 Cd 3.04-3.06
Cd  0.9212  0.0788  0.3418  1 Li 2.86, 4 Ag 2.95-3.04, 1 Zn 2.99, 6 Cd 3.04-3.15
Ag  0.4126  0.5874  0.5024  7 Cd 2.92-2.98, 1 Ag 2.96, 2 Zn 3.03, 2 Li 3.07
Ag  0.4137  0.5863  0.8473  1 Zn 2.83, 2 Li 2.88, 1 Ag 2.96, 7 Cd 2.98-3.14
Ag  0.5863  0.4137  0.3473  1 Zn 2.83, 2 Li 2.88, 1 Ag 2.96, 7 Cd 2.98-3.14
Ag  0.5874  0.4126  0.0024  7 Cd 2.92-2.98, 1 Ag 2.96, 2 Zn 3.03, 2 Li 3.07

---

Please write out number 1 again, unchanged.
## H2OsRuSe (PBE-GGA)

Data for a relaxed structure of H2OsRuSe.

spin magnetization	0.000	μB/f.u.
SG	P4/mmm
calculated total energy	-25.7	eV/cell
crystal system	tetragonal

Cell: 3.4989 3.4989 5.4304 Å, 90.00 90.00 90.00°
Closest atoms and distances in Å follow each position.
Sites, in units of the cell vectors:
H  0.0000  0.5000  0.0000  2 Se 1.75
H  0.5000  0.0000  0.0000  2 Se 1.75
Os  0.0000  0.0000  0.5000  4 Ru 2.47, 2 Se 2.72
Ru  0.5000  0.5000  0.5000  4 Os 2.47
Se  0.0000  0.0000  0.0000  4 H 1.75

---

Question: Among the records above, which one has the lowest calculated total energy?
Answer: Ce4In3Hg4

---

Question: Look up the calculated total energy of the first one.
Answer: -25.7 eV/cell

---

Question: Which of these has the highest calculated total energy?
Answer: H2OsRuSe